Entry 1:
{
  "formula": "SiBrO2",
  "functional": "GGA-PBEsol",
  "state": "optimized geometry",
  "space_group": "R-3m",
  "raw_formation_energy_kj_per_mol_fu": -685,
  "lattice": [[2.7530, 0.0000, 0.0000], [1.3765, 2.3842, 0.0000], [1.3765, 0.7947, 9.4294]],
  "species": ["Si", "Br", "O", "O"],
  "fractional_positions": [[0.5000, 0.5000, 0.5000], [0.0000, 0.0000, 0.0000], [0.8649, 0.8649, 0.4054], [0.1351, 0.1351, 0.5946]]
}

Entry 2:
{
  "formula": "ReAsAu2",
  "functional": "GGA-PBEsol",
  "state": "optimized geometry",
  "ef_ev_per_atom": 0.5737,
  "space_group": "I-4m2",
  "lattice": [[-0.3201, -4.2888, -0.6328], [4.0810, 1.9922, -0.6356], [-1.4402, -0.4933, 4.0718]],
  "species": ["Re", "As", "Au", "Au"],
  "fractional_positions": [[0.5000, 0.0000, 0.5000], [0.2500, 0.5000, 0.7500], [0.0000, 0.0000, 0.0000], [0.7500, 0.5000, 0.2500]]
}

Entry 3:
{
  "formula": "LaZrPt2",
  "functional": "GGA-PBEsol",
  "state": "optimized geometry",
  "ef_ev_per_atom": -0.6889,
  "space_group": "Imm2",
  "lattice": [[-1.0806, 0.8989, -3.2602], [-3.8985, -1.7585, 0.8074], [0.7544, 5.1363, 3.0992]],
  "species": ["La", "Pt", "Pt", "Zr"],
  "fractional_positions": [[0.2601, 0.7601, 0.5201], [0.0288, 0.0288, 0.0576], [0.7333, 0.2333, 0.4666], [0.4778, 0.4778, 0.9556]]
}

Entry 4:
{
  "formula": "CaMgCd2",
  "functional": "GGA-PBEsol",
  "state": "optimized geometry",
  "ef_ev_per_atom": -0.0621,
  "space_group": "R-3m",
  "lattice": [[-2.7509, 1.4784, -1.5764], [-2.9380, 0.5953, 1.8035], [1.3701, 9.3833, 2.5276]],
  "species": ["Ca", "Cd", "Cd", "Mg"],
  "fractional_positions": [[0.0000, 0.0000, 0.0000], [0.2453, 0.2453, 0.2640], [0.7547, 0.7547, 0.7360], [0.5000, 0.5000, 0.5000]]
}

Entry 5:
{
  "formula": "YMg2",
  "functional": "GGA-PBEsol",
  "state": "optimized geometry",
  "ef_ev_per_atom": -0.0328,
  "space_group": "C2/m",
  "lattice": [[3.6681, 0.0000, 0.0000], [-1.8340, 6.2435, 0.1032], [0.0000, -2.2641, 6.6681]],
  "species": ["Y", "Y", "Mg", "Mg", "Mg", "Mg"],
  "fractional_positions": [[0.1581, 0.3163, 0.0801], [0.8419, 0.6837, 0.9199], [0.5042, 0.0084, 0.7303], [0.8366, 0.6732, 0.4194], [0.1634, 0.3268, 0.5806], [0.4958, 0.9916, 0.2697]]
}

Entry 6:
{
  "formula": "Li2RuSe",
  "functional": "GGA-PBEsol",
  "state": "optimized geometry",
  "space_group": "I-4m2",
  "raw_formation_energy_kj_per_mol_fu": -85,
  "lattice": [[-2.7382, -2.3458, 0.8642], [1.6821, -0.7806, 3.2107], [-1.3151, 4.3171, -0.4023]],
  "species": ["Ru", "Se", "Li", "Li"],
  "fractional_positions": [[0.5000, 0.5000, 0.0000], [0.2500, 0.7500, 0.5000], [0.0000, 0.0000, 0.0000], [0.7500, 0.2500, 0.5000]]
}

Entry 7:
{
  "formula": "Tl2Si2Pb",
  "functional": "GGA-PBEsol",
  "state": "optimized geometry",
  "space_group": "I4/mmm",
  "raw_formation_energy_kj_per_mol_fu": 102,
  "lattice": [[3.4609, 0.0000, 0.0000], [0.0000, 3.4609, 0.0000], [-1.7305, -1.7305, 10.0599]],
  "species": ["Pb", "Tl", "Tl", "Si", "Si"],
  "fractional_positions": [[0.0000, 0.0000, 0.0000], [0.3782, 0.3782, 0.7564], [0.6218, 0.6218, 0.2436], [0.2500, 0.7500, 0.5000], [0.7500, 0.2500, 0.5000]]
}

Entry 8:
{
  "formula": "AlTeRh2",
  "functional": "GGA-PBEsol",
  "state": "optimized geometry",
  "space_group": "R3m",
  "raw_formation_energy_kj_per_mol_fu": 7,
  "lattice": [[3.1718, 0.0000, 0.0000], [1.5859, 2.7469, 0.0000], [1.5859, 0.9156, 7.9528]],
  "species": ["Te", "Rh", "Rh", "Al"],
  "fractional_positions": [[0.4923, 0.4923, 0.5232], [0.9951, 0.9951, 0.0147], [0.7505, 0.7505, 0.7486], [0.2621, 0.2621, 0.2136]]
}

Entry 9:
{
  "formula": "MnCoOs2",
  "functional": "GGA-PBEsol",
  "state": "optimized geometry",
  "ef_ev_per_atom": 0.2989,
  "space_group": "P4/mmm",
  "lattice": [[3.0310, 0.0000, 0.0000], [0.0000, 3.0310, 0.0000], [0.0000, 0.0000, 5.4155]],
  "species": ["Co", "Mn", "Os", "Os"],
  "fractional_positions": [[0.5000, 0.5000, 0.0000], [0.5000, 0.5000, 0.5000], [0.0000, 0.0000, 0.7551], [0.0000, 0.0000, 0.2449]]
}

Entry 10:
{
  "formula": "Ti2SbO",
  "functional": "GGA-PBEsol",
  "state": "optimized geometry",
  "space_group": "Fm-3m",
  "raw_formation_energy_kj_per_mol_fu": -207,
  "lattice": [[4.4126, 0.0000, 0.0000], [2.2063, 3.8214, 0.0000], [2.2063, 1.2738, 3.6029]],
  "species": ["Sb", "O", "Ti", "Ti"],
  "fractional_positions": [[0.5000, 0.5000, 0.5000], [0.0000, 0.0000, 0.0000], [0.2500, 0.2500, 0.2500], [0.7500, 0.7500, 0.7500]]
}

Entry 11:
{
  "formula": "CS14",
  "functional": "GGA-PBEsol",
  "state": "optimized geometry",
  "space_group": "R-3m",
  "raw_formation_energy_kj_per_mol_fu": 109,
  "lattice": [[-4.5752, 3.5338, -4.4097], [-1.5864, -6.6095, -2.5813], [-4.6345, -0.3578, 5.5910]],
  "species": ["C", "S", "S", "S", "S", "S", "S", "S", "S", "S", "S", "S", "S", "S", "S"],
  "fractional_positions": [[0.5000, 0.5000, 0.5000], [0.2298, 0.8386, 0.2298], [0.8386, 0.2298, 0.2298], [0.1614, 0.7702, 0.7702], [0.7702, 0.7702, 0.1614], [0.7702, 0.1614, 0.7702], [0.3091, 0.0000, 0.6909], [0.0000, 0.6909, 0.3091], [0.6909, 0.3091, 0.0000], [0.6909, 0.0000, 0.3091], [0.0000, 0.3091, 0.6909], [0.3091, 0.6909, 0.0000], [0.3639, 0.3639, 0.3639], [0.6361, 0.6361, 0.6361], [0.2298, 0.2298, 0.8386]]
}

Entry 12:
{
  "formula": "CrNi2Os",
  "functional": "GGA-PBEsol",
  "state": "optimized geometry",
  "ef_ev_per_atom": 0.0250,
  "space_group": "I-4m2",
  "lattice": [[-0.4070, -3.5812, -0.3029], [2.7890, -0.5070, 2.2466], [-3.3908, 2.0628, 1.7632]],
  "species": ["Ni", "Ni", "Os", "Cr"],
  "fractional_positions": [[0.5000, 0.5000, 0.0000], [0.7500, 0.2500, 0.5000], [0.0000, 0.0000, 0.0000], [0.2500, 0.7500, 0.5000]]
}

In order of appearance, magnetic moment = 0.00, 0.00, 0.00, 0.00, 0.00, 0.01, 0.00, 0.00, 0.88, 0.00, 0.00, 0.00 μB/cell.